[1]
Here is a geometry-optimized CaNdDy14 structure from Alexandria. Energies are from GGA-PBE.

Unit cell a=7.2806 b=7.2806 c=11.3364 alpha=90.00 beta=90.00 gamma=120.07
Sites, in units of the cell vectors:
Ca1 0.6667 0.3333 0.0000
Nd1 0.1677 0.8323 0.0000
Dy1 0.6665 0.3335 0.5000
Dy2 0.1662 0.8338 0.5000
Dy3 0.1681 0.3348 0.0000
Dy4 0.1669 0.3335 0.5000
Dy5 0.6652 0.8319 0.0000
Dy6 0.6665 0.8331 0.5000
Dy7 0.3294 0.1652 0.7450
Dy8 0.3294 0.1652 0.2550
Dy9 0.8348 0.6706 0.7450
Dy10 0.8348 0.6706 0.2550
Dy11 0.8354 0.1646 0.7461
Dy12 0.8354 0.1646 0.2539
Dy13 0.3335 0.6665 0.7506
Dy14 0.3335 0.6665 0.2494

Density, Mg/m³: 7.853
ΔH_f (0 K), eV/atom: 0.028
Volume, Å³ per atom: 32.50
D(E_F), states/eV/cell: 25.22

[2]
Here is a geometry-optimized Ca2NdDy structure from Alexandria. Energies are from GGA-PBE.

Unit cell a=4.1665 b=4.1665 c=8.3780 alpha=90.00 beta=90.00 gamma=90.00
Sites, in units of the cell vectors:
Ca1 0.0000 0.0000 0.7559
Ca2 0.0000 0.0000 0.2441
Nd1 0.5000 0.5000 0.5000
Dy1 0.5000 0.5000 0.0000

Density, Mg/m³: 4.417
ΔH_f (0 K), eV/atom: 0.153
Polymorph energy (0 for the lowest one), meV/atom: 107
Volume, Å³ per atom: 36.36
D(E_F), states/eV/cell: 6.07

[3]
Here is a geometry-optimized CaNd2Dy structure from Alexandria. Energies are from GGA-PBE.

Unit cell a=5.8515 b=5.8515 c=5.8515 alpha=60.00 beta=60.00 gamma=60.00
Sites, in units of the cell vectors:
Ca1 0.5000 0.5000 0.5000
Nd1 0.2500 0.2500 0.2500
Nd2 0.7500 0.7500 0.7500
Dy1 0.0000 0.0000 0.0000

Density, Mg/m³: 5.756
ΔH_f (0 K), eV/atom: 0.121
Polymorph energy (0 for the lowest one), meV/atom: 87
Volume, Å³ per atom: 35.42
D(E_F), states/eV/cell: 6.85

[4]
Here is a geometry-optimized CaNd7Dy3 structure from Alexandria. Energies are from GGA-PBE.

Unit cell a=6.5702 b=7.8414 c=7.8414 alpha=81.85 beta=86.12 gamma=86.12
Sites, in units of the cell vectors:
Ca1 0.5000 0.5000 0.5000
Nd1 0.7911 0.2336 0.2336
Nd2 0.7447 0.9217 0.5756
Nd3 0.2553 0.4244 0.0783
Nd4 0.7447 0.5756 0.9217
Nd5 0.0000 0.5000 0.5000
Nd6 0.2553 0.0783 0.4244
Nd7 0.2089 0.7664 0.7664
Dy1 0.0000 0.8330 0.1670
Dy2 0.5000 0.0000 0.0000
Dy3 0.0000 0.1670 0.8330

Density, Mg/m³: 6.409
ΔH_f (0 K), eV/atom: 0.227
Polymorph energy (0 for the lowest one), meV/atom: 17
Volume, Å³ per atom: 36.21
D(E_F), states/eV/cell: 14.91

[5]
Here is a geometry-optimized CaNd2Dy structure from Alexandria. Energies are from GGA-PBE.

Unit cell a=3.6617 b=3.6617 c=12.3882 alpha=81.50 beta=81.50 gamma=60.00
Sites, in units of the cell vectors:
Ca1 0.5002 0.5002 0.4994
Nd1 0.0785 0.0785 0.7646
Nd2 0.2548 0.2548 0.2355
Dy1 0.6665 0.6665 0.0005

Density, Mg/m³: 5.753
ΔH_f (0 K), eV/atom: 0.037
Polymorph energy (0 for the lowest one), meV/atom: 3
Volume, Å³ per atom: 35.43
D(E_F), states/eV/cell: 5.16

[6]
Here is a geometry-optimized Ca2Nd15Dy2 structure from Alexandria. Energies are from GGA-PBE.

Unit cell a=8.9954 b=8.9954 c=8.9954 alpha=81.13 beta=81.13 gamma=81.13
Sites, in units of the cell vectors:
Ca1 0.6694 0.6694 0.6694
Ca2 0.3306 0.3306 0.3306
Nd1 0.0000 0.5000 0.0000
Nd2 0.0000 0.0000 0.5000
Nd3 0.5000 0.0000 0.0000
Nd4 0.2939 0.0000 0.7061
Nd5 0.7061 0.2939 0.0000
Nd6 0.0000 0.7061 0.2939
Nd7 0.2939 0.7061 0.0000
Nd8 0.0000 0.2939 0.7061
Nd9 0.7061 0.0000 0.2939
Nd10 0.3636 0.8531 0.3636
Nd11 0.3636 0.3636 0.8531
Nd12 0.8531 0.3636 0.3636
Nd13 0.6364 0.1469 0.6364
Nd14 0.6364 0.6364 0.1469
Nd15 0.1469 0.6364 0.6364
Dy1 0.9051 0.9051 0.9051
Dy2 0.0949 0.0949 0.0949

Density, Mg/m³: 6.058
ΔH_f (0 K), eV/atom: 0.227
Volume, Å³ per atom: 37.06
D(E_F), states/eV/cell: 28.03

[7]
Here is a geometry-optimized CaNd9Dy2 structure from Alexandria. Energies are from GGA-PBE.

Unit cell a=5.1892 b=5.1892 c=15.5799 alpha=90.00 beta=90.00 gamma=90.00
Sites, in units of the cell vectors:
Ca1 0.0000 0.0000 0.0000
Nd1 0.5000 0.5000 0.0000
Nd2 0.5000 0.5000 0.3347
Nd3 0.5000 0.5000 0.6653
Nd4 0.5000 0.0000 0.1726
Nd5 0.5000 0.0000 0.5000
Nd6 0.5000 0.0000 0.8274
Nd7 0.0000 0.5000 0.1726
Nd8 0.0000 0.5000 0.5000
Nd9 0.0000 0.5000 0.8274
Dy1 0.0000 0.0000 0.3342
Dy2 0.0000 0.0000 0.6657

Density, Mg/m³: 6.583
ΔH_f (0 K), eV/atom: 0.032
Volume, Å³ per atom: 34.96
D(E_F), states/eV/cell: 19.47

[8]
Here is a geometry-optimized CaNd8Dy3 structure from Alexandria. Energies are from GGA-PBE.

Unit cell a=3.6619 b=12.6907 c=13.1598 alpha=44.08 beta=97.97 gamma=89.95
Sites, in units of the cell vectors:
Ca1 0.3344 0.8730 0.5024
Nd1 0.0051 0.6984 0.8440
Nd2 0.4981 0.9550 0.8289
Nd3 0.9987 0.2081 0.8312
Nd4 0.3318 0.3728 0.4964
Nd5 0.8354 0.6153 0.5019
Nd6 0.1664 0.7894 0.1665
Nd7 0.1649 0.2964 0.1623
Nd8 0.6622 0.0433 0.1593
Dy1 0.5022 0.4504 0.8388
Dy2 0.8321 0.1301 0.4977
Dy3 0.6668 0.5377 0.1671

Density, Mg/m³: 6.699
ΔH_f (0 K), eV/atom: 0.030
Volume, Å³ per atom: 34.73
D(E_F), states/eV/cell: 16.91

[9]
Here is a geometry-optimized Ca2Nd4Dy5 structure from Alexandria. Energies are from GGA-PBE.

Unit cell a=9.5942 b=9.5942 c=7.1092 alpha=105.55 beta=94.40 gamma=138.11
Sites, in units of the cell vectors:
Ca1 0.0874 0.3195 0.4069
Ca2 0.9126 0.6805 0.5931
Nd1 0.3739 0.2533 0.6271
Nd2 0.6261 0.7467 0.3729
Nd3 0.2205 0.7019 0.9224
Nd4 0.7795 0.2981 0.0776
Dy1 0.3792 0.2122 0.1118
Dy2 0.6208 0.7878 0.8882
Dy3 0.5000 0.0000 0.5000
Dy4 0.8996 0.7326 0.1118
Dy5 0.1004 0.2674 0.8882

Density, Mg/m³: 6.420
ΔH_f (0 K), eV/atom: 0.189
Volume, Å³ per atom: 34.55
D(E_F), states/eV/cell: 12.76

[10]
Here is a geometry-optimized CaNd7Dy2 structure from Alexandria. Energies are from GGA-PBE.

Unit cell a=5.8406 b=9.2111 c=9.2112 alpha=120.87 beta=90.00 gamma=90.00
Sites, in units of the cell vectors:
Ca1 0.0000 0.0000 0.0000
Nd1 0.0000 0.7572 0.2428
Nd2 0.0000 0.2428 0.7572
Nd3 0.5000 0.0635 0.3008
Nd4 0.5000 0.9365 0.6992
Nd5 0.5000 0.3008 0.0635
Nd6 0.5000 0.6992 0.9365
Nd7 0.5000 0.5000 0.5000
Dy1 0.5000 0.7047 0.2953
Dy2 0.5000 0.2953 0.7047

Density, Mg/m³: 5.367
ΔH_f (0 K), eV/atom: 0.597
Polymorph energy (0 for the lowest one), meV/atom: 511
Volume, Å³ per atom: 42.53
D(E_F), states/eV/cell: 13.72

[11]
Here is a geometry-optimized CaNd6Dy3 structure from Alexandria. Energies are from GGA-PBE.

Unit cell a=3.6058 b=11.6590 c=16.5594 alpha=89.73 beta=90.00 gamma=90.00
Sites, in units of the cell vectors:
Ca1 0.2500 0.3743 0.9599
Ca2 0.7500 0.6257 0.0401
Nd1 0.2500 0.3944 0.5618
Nd2 0.7500 0.6056 0.4382
Nd3 0.2500 0.8798 0.9611
Nd4 0.7500 0.1202 0.0389
Nd5 0.2500 0.8644 0.5425
Nd6 0.7500 0.1356 0.4575
Nd7 0.2500 0.6398 0.2458
Nd8 0.7500 0.3602 0.7542
Nd9 0.2500 0.6330 0.8271
Nd10 0.7500 0.3670 0.1729
Nd11 0.2500 0.1075 0.2507
Nd12 0.7500 0.8925 0.7493
Dy1 0.2500 0.1292 0.6494
Dy2 0.7500 0.8708 0.3506
Dy3 0.2500 0.3689 0.3551
Dy4 0.7500 0.6311 0.6449
Dy5 0.2500 0.1221 0.8477
Dy6 0.7500 0.8779 0.1523

Density, Mg/m³: 6.646
ΔH_f (0 K), eV/atom: 0.050
Volume, Å³ per atom: 34.81
D(E_F), states/eV/cell: 30.58